The following is a DFT calculation (PBEsol) of a relaxed structure of Cu2TcAs.

```
4
Lattice="-1.431 2.048 4.440 1.431 -2.048 4.440 1.431 2.048 -4.440" Properties=species:S:1:pos:R:3 pbc="T T T"
Cu 0.000 0.000 2.106
Cu 0.000 0.000 6.774
Tc 0.000 2.048 0.000
As 1.431 0.000 0.000
```

Calculated values
The calculation puts the energy relative to the elements at 14.51 kJ per mole of atoms. The calculation puts the density of states at the Fermi level at 0.653 states/eV per atom. The total magnetic moment is 0.0 Bohr magnetons per cell. Its space group is No. 71. The energy is -6.1098 eV per atom.

---

The following is a DFT calculation (PBEsol) of a relaxed structure of Tc3SeO.

```
5
Lattice="4.491 0.000 0.000 0.000 4.491 0.000 0.000 0.000 4.491" Properties=species:S:1:pos:R:3 pbc="T T T"
Tc 0.000 0.000 2.245
Tc 0.000 2.245 0.000
Tc 2.245 0.000 0.000
Se 0.000 0.000 0.000
O 2.245 2.245 2.245
```

Calculated values
The calculation puts the density of states at the Fermi level at 1.819 states/eV per atom. The total magnetic moment is 3.4 Bohr magnetons per cell. Its space group is No. 221. The energy is -6.6379 eV per atom. The calculation puts the uncorrected formation energy at 1.942 eV/atom.